(1)
Crystalline TbY8Er2 at its relaxed geometry. Source: Alexandria via LeMat-Bulk, functional PBE.

## Properties
For the energy of formation from the pure elements, the calculation gives 0.162 eV/atom. The calculation puts the calculated total energy at -5.790 eV per atom. The density of states at the Fermi level is 1.64 states/eV/atom. The space-group type is No. 12.

Geometry as POSCAR:
```
TbY8Er2
1.0
-1.594 -4.471 3.476
4.360 -2.347 7.556
-2.553 3.852 8.070
Y Tb Er
8 1 2
Direct
0.500 0.205 0.589
0.180 0.902 0.761
0.500 0.795 0.411
0.820 0.338 0.761
0.180 0.662 0.239
0.820 0.098 0.239
0.292 0.430 0.000
0.708 0.570 0.000
0.500 0.000 0.000
0.000 0.691 0.617
0.000 0.309 0.383
```

(2)
Crystalline CePa2TlO8 at its relaxed geometry. Source: Alexandria via LeMat-Bulk, functional PBE.

## Properties
Its uncorrected formation energy is -3.028 eV per atom. The calculation puts the calculated total energy at -8.608 eV per atom. The density of states at the Fermi level is 0.35 states/eV/atom. The space-group type is No. 119.

Geometry as POSCAR:
```
CePa2TlO8
1.0
-5.501 0.211 0.014
-0.182 -4.904 2.495
2.948 4.811 3.597
O Pa Tl Ce
8 2 1 1
Direct
0.610 0.120 0.758
0.362 0.852 0.242
0.610 0.638 0.758
0.148 0.638 0.758
0.880 0.390 0.242
0.880 0.852 0.242
0.362 0.390 0.242
0.148 0.120 0.758
0.250 0.750 0.500
0.500 0.500 0.000
0.750 0.250 0.500
0.000 0.000 0.000
```

(3)
Crystalline Mg3MoRh at its relaxed geometry. Source: Alexandria via LeMat-Bulk, functional PBE.

## Properties
For the energy of formation from the pure elements, the calculation gives 1.489 eV/atom. The calculation puts the calculated total energy at -3.105 eV per atom. The density of states at the Fermi level is 0.59 states/eV/atom. The space-group type is No. 221.

Geometry as POSCAR:
```
Mg3MoRh
1.0
5.006 0.000 0.000
0.000 5.006 0.000
0.000 0.000 5.006
Rh Mg Mo
1 3 1
Direct
0.500 0.500 0.500
0.000 0.500 0.000
0.000 0.000 0.500
0.500 0.000 0.000
0.000 0.000 0.000
```

(4)
Crystalline BaTiInPb2 at its relaxed geometry. Source: Alexandria via LeMat-Bulk, functional PBE.

## Properties
For the energy of formation from the pure elements, the calculation gives -0.221 eV/atom. The calculation puts the calculated total energy at -4.215 eV per atom. The density of states at the Fermi level is 0.48 states/eV/atom. The space-group type is No. 123.

Geometry as POSCAR:
```
BaTiInPb2
1.0
-0.763 -2.933 4.544
2.889 -4.100 -2.161
4.558 2.096 2.118
Ba In Pb Ti
1 1 2 1
Direct
0.500 0.500 0.500
0.000 0.000 0.500
0.000 0.500 0.000
0.500 0.000 0.000
0.000 0.000 0.000
```

(5)
Crystalline K3GaOs at its relaxed geometry. Source: Alexandria via LeMat-Bulk, functional PBE.

## Properties
For the energy of formation from the pure elements, the calculation gives 1.321 eV/atom. The calculation puts the calculated total energy at -2.189 eV per atom. The density of states at the Fermi level is 0.94 states/eV/atom. The space-group type is No. 221.

Geometry as POSCAR:
```
K3GaOs
1.0
-4.016 2.162 4.211
-4.537 -3.336 -2.613
1.353 -4.768 3.738
Ga K Os
1 3 1
Direct
0.500 0.500 0.500
0.500 0.000 0.000
0.000 0.500 0.000
0.000 0.000 0.500
0.000 0.000 0.000
```

(6)
Crystalline Ac2DyH at its relaxed geometry. Source: Alexandria via LeMat-Bulk, functional PBE.

## Properties
The calculation puts the calculated total energy at -3.922 eV per atom. The density of states at the Fermi level is 1.39 states/eV/atom. The space-group type is No. 166.

Geometry as POSCAR:
```
Ac2DyH
1.0
-3.464 0.506 1.370
-2.960 -1.487 -1.777
-1.186 -8.906 5.451
Dy Ac H
1 2 1
Direct
0.000 0.000 0.000
0.115 0.115 0.654
0.885 0.885 0.346
0.500 0.500 0.500
```

(7)
Crystalline Tl2AgMo at its relaxed geometry. Source: Alexandria via LeMat-Bulk, functional PBE.

## Properties
For the energy of formation from the pure elements, the calculation gives 0.621 eV/atom. The calculation puts the calculated total energy at -3.982 eV per atom. The density of states at the Fermi level is 0.70 states/eV/atom. The space-group type is No. 123.

Geometry as POSCAR:
```
Tl2AgMo
1.0
-2.470 -0.636 -1.599
1.698 -1.349 -2.087
-0.847 -8.035 4.505
Tl Mo Ag
2 1 1
Direct
0.000 0.000 0.509
0.000 0.000 0.991
0.500 0.500 0.750
0.500 0.500 0.250
```

(8)
Crystalline TaAg2Se at its relaxed geometry. Source: Alexandria via LeMat-Bulk, functional PBE.

## Properties
Its uncorrected formation energy is 0.159 eV per atom. The calculation puts the calculated total energy at -5.101 eV per atom. The density of states at the Fermi level is 0.48 states/eV/atom. The space-group type is No. 6.

Geometry as POSCAR:
```
TaAg2Se
1.0
-1.117 -0.552 3.000
2.816 -1.552 0.762
4.387 5.629 2.669
Se Ag Ta
1 2 1
Direct
0.000 0.682 0.511
0.500 0.322 0.224
0.000 0.939 0.997
0.500 0.557 0.767
```

(9)
Crystalline Y2AsBr at its relaxed geometry. Source: Alexandria via LeMat-Bulk, functional PBE.

## Properties
Its uncorrected formation energy is -1.330 eV per atom. The calculation puts the calculated total energy at -6.143 eV per atom. The density of states at the Fermi level is 0.19 states/eV/atom. The space-group type is No. 160.

Geometry as POSCAR:
```
Y2AsBr
1.0
-0.612 3.034 -2.656
0.026 -0.761 -4.006
-7.335 -0.510 -2.025
Y Br As
2 1 1
Direct
0.069 0.069 0.793
0.264 0.264 0.207
0.498 0.498 0.506
0.669 0.669 0.994
```

(10)
Crystalline LaTl3O6 at its relaxed geometry. Source: Alexandria via LeMat-Bulk, functional PBE.

## Properties
Its uncorrected formation energy is -1.334 eV per atom. The calculation puts the calculated total energy at -5.512 eV per atom. The density of states at the Fermi level is 0.10 states/eV/atom. The space-group type is No. 11.

Geometry as POSCAR:
```
LaTl3O6
1.0
-3.312 -0.570 -1.088
3.294 -3.736 -8.066
-0.907 -6.897 6.371
O Tl La
12 6 2
Direct
0.250 0.904 0.552
0.250 0.272 0.722
0.750 0.805 0.751
0.750 0.922 0.091
0.250 0.603 0.942
0.750 0.462 0.600
0.250 0.195 0.249
0.750 0.096 0.448
0.750 0.728 0.278
0.250 0.078 0.909
0.750 0.397 0.058
0.250 0.538 0.400
0.250 0.552 0.170
0.750 0.680 0.509
0.750 0.167 0.090
0.250 0.833 0.910
0.250 0.320 0.491
0.750 0.448 0.830
0.750 0.059 0.692
0.250 0.941 0.308
```

(11)
Crystalline Cu2BiHN at its relaxed geometry. Source: Alexandria via LeMat-Bulk, functional PBE.

## Properties
The calculation puts the calculated total energy at -3.994 eV per atom. The density of states at the Fermi level is 0.47 states/eV/atom. The space-group type is No. 123.

Geometry as POSCAR:
```
Cu2BiHN
1.0
-2.510 2.288 -0.815
-2.906 -4.088 -2.527
-1.623 -0.707 3.011
N Cu Bi H
1 2 1 1
Direct
0.500 0.500 0.500
0.500 0.000 0.000
0.000 0.000 0.500
0.000 0.500 0.000
0.000 0.000 0.000
```

(12)
Crystalline AcErCuRu at its relaxed geometry. Source: Alexandria via LeMat-Bulk, functional PBE.

## Properties
For the energy of formation from the pure elements, the calculation gives -0.139 eV/atom. The calculation puts the calculated total energy at -5.650 eV per atom. The density of states at the Fermi level is 0.70 states/eV/atom. The space-group type is No. 216.

Geometry as POSCAR:
```
AcErCuRu
1.0
-2.140 3.640 2.769
-5.017 0.131 0.554
-2.077 -1.116 4.465
Er Ru Cu Ac
1 1 1 1
Direct
0.750 0.750 0.750
0.500 0.500 0.500
0.000 0.000 0.000
0.250 0.250 0.250
```

Repeat the first record exactly.
Crystalline TbY8Er2 at its relaxed geometry. Source: Alexandria via LeMat-Bulk, functional PBE.

## Properties
For the energy of formation from the pure elements, the calculation gives 0.162 eV/atom. The calculation puts the calculated total energy at -5.790 eV per atom. The density of states at the Fermi level is 1.64 states/eV/atom. The space-group type is No. 12.

Geometry as POSCAR:
```
TbY8Er2
1.0
-1.594 -4.471 3.476
4.360 -2.347 7.556
-2.553 3.852 8.070
Y Tb Er
8 1 2
Direct
0.500 0.205 0.589
0.180 0.902 0.761
0.500 0.795 0.411
0.820 0.338 0.761
0.180 0.662 0.239
0.820 0.098 0.239
0.292 0.430 0.000
0.708 0.570 0.000
0.500 0.000 0.000
0.000 0.691 0.617
0.000 0.309 0.383
```